Record 1
DFT (PBEsol) results for an optimized crystal structure of TcOs.

Lattice parameters (Å, degrees): 4.326 2.725 4.721 90.00 90.00 90.00
Space group Pmma (No. 51)
One atom of each set of equivalent atoms:
Tc (0.250, 0.000, 0.165) x2
Os (0.250, 0.500, 0.668) x2

Computed properties:
The formation energy comes out at -0.096 eV/atom. As for the crystal system: orthorhombic. The excess energy over the best structure of this formula in the dataset comes out at 0.0000 eV per atom.

Record 2
DFT (PBEsol) results for an optimized crystal structure of NdZrO3.

Lattice parameters (Å, degrees): 7.470 7.470 10.683 90.00 90.00 90.00
Space group I-4m2 (No. 119)
One atom of each set of equivalent atoms:
Nd (0.000, 0.243, 0.132) x8
Zr (0.000, 0.253, 0.631) x8
O (0.000, 0.000, 0.000) x2
O (0.000, 0.000, 0.283) x4
O (0.000, 0.500, 0.250) x2
O (0.206, 0.206, 0.500) x8
O (0.223, 0.277, 0.750) x8

Computed properties:
As for the crystal system: tetragonal. The calculation puts the formation energy from raw total energies at -3.223 eV per atom.

Record 3
DFT (PBEsol) results for an optimized crystal structure of CrSnIrPd2.

Lattice parameters (Å, degrees): 4.549 4.549 4.454 90.00 90.00 90.00
Space group P4/mmm (No. 123)
One atom of each set of equivalent atoms:
Cr (0.000, 0.000, 0.000) x1
Sn (0.500, 0.500, 0.500) x1
Ir (0.000, 0.000, 0.500) x1
Pd (0.000, 0.500, 0.000) x2

Computed properties:
The formation energy comes out at 0.849 eV/atom. As for the crystal system: tetragonal.

Record 4
DFT (PBEsol) results for an optimized crystal structure of CoSi2Ag.

Lattice parameters (Å, degrees): 2.780 4.071 4.774 90.00 90.00 90.00
Space group Pmmm (No. 47)
One atom of each set of equivalent atoms:
Co (0.000, 0.000, 0.000) x1
Si (0.000, 0.500, 0.500) x1
Si (0.500, 0.500, 0.000) x1
Ag (0.500, 0.000, 0.500) x1

Computed properties:
As for the crystal system: orthorhombic. The calculation puts the formation energy from raw total energies at 0.258 eV per atom. The excess energy over the best structure of this formula in the dataset comes out at 0.0376 eV per atom.

Record 5
DFT (PBEsol) results for an optimized crystal structure of KCdTe.

Lattice parameters (Å, degrees): 7.433 7.433 7.433 90.00 90.00 90.00
Space group F-43m (No. 216)
One atom of each set of equivalent atoms:
K (0.000, 0.000, 0.000) x4
Cd (0.250, 0.250, 0.250) x4
Te (0.000, 0.000, 0.500) x4

Computed properties:
As for the crystal system: cubic. The calculation puts the formation energy from raw total energies at -0.317 eV per atom.

Record 6
DFT (PBEsol) results for an optimized crystal structure of CrCdIr.

Lattice parameters (Å, degrees): 2.834 3.531 9.312 90.00 90.00 90.00
Space group Imm2 (No. 44)
One atom of each set of equivalent atoms:
Cr (0.000, 0.000, 0.000) x2
Cd (0.000, 0.000, 0.308) x2
Ir (0.000, 0.000, 0.616) x2

Computed properties:
The formation energy comes out at 0.208 eV/atom. As for the crystal system: orthorhombic. The excess energy over the best structure of this formula in the dataset comes out at 0.0000 eV per atom.

Record 7
DFT (PBEsol) results for an optimized crystal structure of La2AlTl.

Lattice parameters (Å, degrees): 3.571 4.609 6.614 90.00 90.00 90.00
Space group Pmm2 (No. 25)
One atom of each set of equivalent atoms:
La (0.000, 0.000, 0.000) x1
La (0.500, 0.500, 0.245) x1
Al (0.500, 0.500, 0.756) x1
Tl (0.000, 0.000, 0.515) x1

Computed properties:
The formation energy comes out at -0.123 eV/atom. As for the crystal system: orthorhombic.

Record 8
DFT (PBEsol) results for an optimized crystal structure of Sr2ZnMo.

Lattice parameters (Å, degrees): 3.374 5.398 11.342 90.00 90.00 90.00
Space group Imm2 (No. 44)
One atom of each set of equivalent atoms:
Sr (0.000, 0.000, 0.000) x2
Sr (0.000, 0.500, 0.203) x2
Zn (0.000, 0.000, 0.446) x2
Mo (0.000, 0.500, 0.777) x2

Computed properties:
The formation energy comes out at 0.638 eV/atom. As for the crystal system: orthorhombic.

Record 9
DFT (PBEsol) results for an optimized crystal structure of MgCrRu3.

Lattice parameters (Å, degrees): 4.375 4.375 4.375 90.00 90.00 90.00
Space group Pm-3m (No. 221)
One atom of each set of equivalent atoms:
Mg (0.000, 0.000, 0.000) x1
Cr (0.500, 0.500, 0.500) x1
Ru (0.000, 0.500, 0.500) x3

Computed properties:
The formation energy comes out at 1.002 eV/atom. As for the crystal system: cubic.

Record 10
DFT (PBEsol) results for an optimized crystal structure of Tl2CdTe4.

Lattice parameters (Å, degrees): 6.281 6.281 12.346 90.00 90.00 90.00
Space group I-42m (No. 121)
One atom of each set of equivalent atoms:
Tl (0.000, 0.500, 0.250) x4
Cd (0.000, 0.000, 0.000) x2
Te (0.216, 0.216, 0.396) x8

Computed properties:
As for the crystal system: tetragonal. The calculation puts the formation energy from raw total energies at -0.129 eV per atom. The excess energy over the best structure of this formula in the dataset comes out at 0.0029 eV per atom.

Record 11
DFT (PBEsol) results for an optimized crystal structure of CaY2Ni.

Lattice parameters (Å, degrees): 3.417 3.417 9.141 90.00 90.00 90.00
Space group P4/mmm (No. 123)
One atom of each set of equivalent atoms:
Ca (0.000, 0.000, 0.000) x1
Y (0.500, 0.500, 0.328) x2
Ni (0.000, 0.000, 0.500) x1

Computed properties:
The formation energy comes out at -0.130 eV/atom. As for the crystal system: tetragonal.

Record 12
DFT (PBEsol) results for an optimized crystal structure of CoRh.

Lattice parameters (Å, degrees): 8.185 3.590 5.186 90.00 108.64 90.00
Space group Cm (No. 8)
One atom of each set of equivalent atoms:
Co (0.000, 0.000, 0.000) x2
Co (0.003, 0.000, 0.519) x2
Co (0.341, 0.000, 0.681) x2
Rh (0.167, 0.500, 0.839) x2
Rh (0.172, 0.500, 0.349) x2
Rh (0.343, 0.000, 0.182) x2

Computed properties:
The formation energy comes out at 0.083 eV/atom. As for the crystal system: monoclinic.

| no. | DOS at the Fermi energy (states/eV/atom) |
| --- | --- |
| 1 | 0.74 |
| 2 | 0.14 |
| 3 | 0.97 |
| 4 | 0.50 |
| 5 | 0.69 |
| 6 | 0.74 |
| 7 | 0.78 |
| 8 | 1.21 |
| 9 | 1.13 |
| 10 | 0.05 |
| 11 | 0.97 |
| 12 | 1.59 |